(1)
SrAl4Fe: relaxed, PBE.

a = 5.486 Å, b = 5.486 Å, c = 5.486 Å
α = 60.00°, β = 60.00°, γ = 60.00°
Each line ends with the local moment (μB).
Sites, in units of the cell vectors:
Sr: 0.000 0.000 0.000  -0.06
Al: 0.874 0.375 0.375  -0.01
Al: 0.375 0.375 0.874  -0.01
Al: 0.375 0.874 0.375  -0.01
Al: 0.375 0.375 0.375  -0.01
Fe: 0.750 0.750 0.750  2.71

uncorrected energy: -4.041 eV/atom
calculated formation energy: 0.15 eV/atom

***

(2)
ZrTiAs2Se: relaxed, PBE.

a = 5.148 Å, b = 5.148 Å, c = 5.100 Å
α = 90.00°, β = 90.00°, γ = 90.00°
Each line ends with the local moment (μB).
Sites, in units of the cell vectors:
As: 0.000 0.500 0.000  -0.02
As: 0.500 0.000 0.000  -0.02
Se: 0.000 0.000 0.500  -0.04
Zr: 0.000 0.000 0.000  0.00
Ti: 0.500 0.500 0.500  0.30

uncorrected energy: -5.562 eV/atom
energy relative to the elements, uncorrected: 0.28 eV/atom

***

(3)
Nd3BiO3: relaxed, PBE.

a = 6.961 Å, b = 6.961 Å, c = 8.742 Å
α = 66.54°, β = 66.54°, γ = 60.00°
Sites, in units of the cell vectors:
Nd: 0.246 0.546 0.308
Nd: 0.900 0.246 0.308
Nd: 0.546 0.900 0.308
Nd: 0.454 0.100 0.692
Nd: 0.100 0.754 0.692
Nd: 0.754 0.454 0.692
Bi: 0.333 0.333 0.000
Bi: 0.667 0.667 0.000
O: 0.445 0.804 0.617
O: 0.804 0.133 0.617
O: 0.133 0.445 0.617
O: 0.867 0.555 0.383
O: 0.196 0.867 0.383
O: 0.555 0.196 0.383

uncorrected energy: -7.276 eV/atom
energy relative to the elements, uncorrected: -2.55 eV/atom

***

(4)
Na3Ac2ZrTe6: relaxed, PBE.

a = 7.934 Å, b = 7.934 Å, c = 8.057 Å
α = 99.58°, β = 99.58°, γ = 119.94°
Each line ends with the local moment (μB).
Sites, in units of the cell vectors:
Na: 0.172 0.828 0.500  0.00
Na: 0.828 0.172 0.500  0.00
Na: 0.500 0.500 0.500  0.00
Ac: 0.334 0.666 0.000  0.03
Ac: 0.666 0.334 0.000  0.03
Zr: 0.000 0.000 0.000  0.51
Te: 0.919 0.615 0.759  -0.01
Te: 0.778 0.778 0.238  -0.01
Te: 0.081 0.385 0.241  -0.01
Te: 0.615 0.919 0.759  -0.01
Te: 0.222 0.222 0.762  -0.01
Te: 0.385 0.081 0.241  -0.01

uncorrected energy: -4.481 eV/atom
energy relative to the elements, uncorrected: -1.18 eV/atom

***

(5)
ScTcMo2S: relaxed, PBE.

a = 4.400 Å, b = 4.635 Å, c = 4.400 Å
α = 90.00°, β = 90.00°, γ = 90.00°
Each line ends with the local moment (μB).
Sites, in units of the cell vectors:
Sc: 0.000 0.500 0.000  -0.02
Mo: 0.000 0.000 0.500  -0.03
Mo: 0.500 0.000 0.000  -0.03
S: 0.000 0.000 0.000  0.01
Tc: 0.500 0.500 0.500  1.09

uncorrected energy: -8.067 eV/atom
energy relative to the elements, uncorrected: 0.43 eV/atom

***

(6)
HoEr2Tm3Bi6: relaxed, PBE.

a = 4.438 Å, b = 8.879 Å, c = 9.923 Å
α = 102.85°, β = 102.92°, γ = 90.00°
Sites, in units of the cell vectors:
Ho: 0.500 0.000 0.000
Er: 0.833 0.667 0.666
Er: 0.167 0.333 0.334
Tm: 0.500 0.500 0.000
Tm: 0.834 0.167 0.667
Tm: 0.166 0.833 0.333
Bi: 0.333 0.917 0.665
Bi: 0.666 0.584 0.333
Bi: 0.667 0.083 0.335
Bi: 0.000 0.251 0.000
Bi: 0.000 0.749 0.000
Bi: 0.334 0.416 0.667

uncorrected energy: -5.002 eV/atom
calculated formation energy: -0.80 eV/atom

***

(7)
KScW2: relaxed, PBE.

a = 4.285 Å, b = 2.900 Å, c = 8.340 Å
α = 82.11°, β = 90.00°, γ = 90.00°
Sites, in units of the cell vectors:
K: 0.000 0.481 0.468
Sc: 0.500 0.733 0.848
W: 0.000 0.013 0.029
W: 0.500 0.273 0.155

uncorrected energy: -7.544 eV/atom
calculated formation energy: 0.79 eV/atom

***

(8)
AcLa15Pb4: relaxed, PBE.

a = 5.113 Å, b = 5.113 Å, c = 25.838 Å
α = 90.00°, β = 90.00°, γ = 90.00°
Sites, in units of the cell vectors:
Ac: 0.000 0.000 0.000
La: 0.500 0.500 0.000
La: 0.500 0.500 0.208
La: 0.500 0.500 0.402
La: 0.500 0.500 0.598
La: 0.500 0.500 0.792
La: 0.500 0.000 0.108
La: 0.500 0.000 0.305
La: 0.500 0.000 0.500
La: 0.500 0.000 0.695
La: 0.500 0.000 0.892
La: 0.000 0.500 0.108
La: 0.000 0.500 0.305
La: 0.000 0.500 0.500
La: 0.000 0.500 0.695
La: 0.000 0.500 0.892
Pb: 0.000 0.000 0.206
Pb: 0.000 0.000 0.403
Pb: 0.000 0.000 0.597
Pb: 0.000 0.000 0.794

uncorrected energy: -4.941 eV/atom
calculated formation energy: -0.30 eV/atom

***

(9)
Y2SbAs: relaxed, PBE.

a = 6.036 Å, b = 4.263 Å, c = 4.264 Å
α = 90.00°, β = 90.00°, γ = 90.00°
Sites, in units of the cell vectors:
Y: 0.000 0.875 0.875
Y: 0.500 0.375 0.375
Sb: 0.500 0.875 0.875
As: 0.000 0.375 0.375

uncorrected energy: -6.733 eV/atom
energy relative to the elements, uncorrected: -1.31 eV/atom

***

(10)
Sr2GaAgSe5: relaxed, PBE.

a = 4.108 Å, b = 10.009 Å, c = 12.389 Å
α = 90.00°, β = 90.00°, γ = 101.84°
Sites, in units of the cell vectors:
Sr: 0.903 0.806 0.792
Sr: 0.115 0.231 0.636
Sr: 0.097 0.194 0.292
Sr: 0.885 0.769 0.136
Ga: 0.573 0.147 0.947
Ga: 0.427 0.853 0.447
Ag: 0.775 0.551 0.554
Ag: 0.225 0.449 0.054
Se: 0.363 0.727 0.963
Se: 0.699 0.398 0.930
Se: 0.528 0.055 0.767
Se: 0.277 0.554 0.688
Se: 0.960 0.921 0.547
Se: 0.637 0.273 0.463
Se: 0.301 0.602 0.430
Se: 0.472 0.945 0.267
Se: 0.723 0.446 0.188
Se: 0.040 0.079 0.047

uncorrected energy: -3.967 eV/atom
energy relative to the elements, uncorrected: -1.00 eV/atom

***

(11)
P2PbC: relaxed, PBE.

a = 6.223 Å, b = 6.223 Å, c = 5.702 Å
α = 56.92°, β = 56.92°, γ = 90.00°
Sites, in units of the cell vectors:
Pb: 0.000 0.000 0.000
Pb: 0.750 0.250 0.500
P: 0.495 0.125 0.250
P: 0.255 0.625 0.250
P: 0.375 0.505 0.750
P: 0.875 0.745 0.750
C: 0.500 0.500 0.000
C: 0.250 0.750 0.500

uncorrected energy: -5.335 eV/atom
calculated formation energy: 0.60 eV/atom

***

(12)
SrYAl: relaxed, PBE.

a = 6.734 Å, b = 6.734 Å, c = 6.031 Å
α = 78.78°, β = 68.05°, γ = 119.40°
Sites, in units of the cell vectors:
Y: 0.333 0.230 0.165
Y: 0.949 0.564 0.215
Sr: 0.487 0.700 0.541
Sr: 0.795 0.094 0.839
Al: 0.939 0.695 0.690
Al: 0.343 0.099 0.690

uncorrected energy: -4.064 eV/atom
calculated formation energy: -0.10 eV/atom

***

(13)
Al8Zn2Cu3: relaxed, PBE.

a = 4.261 Å, b = 8.439 Å, c = 7.210 Å
α = 125.92°, β = 90.00°, γ = 90.00°
Sites, in units of the cell vectors:
Al: 0.000 0.625 0.250
Al: 0.000 0.375 0.750
Al: 0.000 0.126 0.251
Al: 0.000 0.874 0.749
Al: 0.500 0.617 0.758
Al: 0.500 0.139 0.755
Al: 0.500 0.861 0.245
Al: 0.500 0.383 0.242
Zn: 0.500 0.247 0.492
Zn: 0.500 0.753 0.508
Cu: 0.500 0.000 0.000
Cu: 0.000 0.254 0.998
Cu: 0.000 0.746 0.002

uncorrected energy: -3.485 eV/atom
calculated formation energy: -0.04 eV/atom

***

(14)
Zn2CdSe: relaxed, PBE.

a = 4.872 Å, b = 4.872 Å, c = 4.872 Å
α = 60.00°, β = 60.00°, γ = 60.00°
Sites, in units of the cell vectors:
Zn: 0.250 0.250 0.250
Zn: 0.750 0.750 0.750
Se: 0.000 0.000 0.000
Cd: 0.500 0.500 0.500

uncorrected energy: -1.546 eV/atom
energy relative to the elements, uncorrected: 0.19 eV/atom

***

(15)
TeSe: relaxed, PBE.

a = 3.959 Å, b = 3.959 Å, c = 7.899 Å
α = 90.00°, β = 90.00°, γ = 120.00°
Sites, in units of the cell vectors:
Se: 0.000 0.000 0.000
Se: 0.000 0.000 0.500
Te: 0.333 0.667 0.250
Te: 0.667 0.333 0.750

uncorrected energy: -3.159 eV/atom
energy relative to the elements, uncorrected: 0.15 eV/atom

***

(16)
BeCS2Cl: relaxed, PBE.

a = 4.047 Å, b = 4.047 Å, c = 4.448 Å
α = 90.00°, β = 90.00°, γ = 90.00°
Sites, in units of the cell vectors:
Be: 0.500 0.500 0.500
S: 0.000 0.500 0.000
S: 0.500 0.000 0.000
C: 0.000 0.000 0.000
Cl: 0.000 0.000 0.500

uncorrected energy: -3.271 eV/atom
energy relative to the elements, uncorrected: 1.34 eV/atom

***

(17)
TiSi2Au: relaxed, PBE.

a = 4.289 Å, b = 4.289 Å, c = 6.406 Å
α = 70.44°, β = 70.44°, γ = 60.00°
Sites, in units of the cell vectors:
Si: 0.134 0.134 0.599
Si: 0.866 0.866 0.401
Au: 0.000 0.000 0.000
Ti: 0.500 0.500 0.500

uncorrected energy: -5.107 eV/atom
energy relative to the elements, uncorrected: 0.40 eV/atom

***

(18)
Y2TmGa6: relaxed, PBE.

a = 3.818 Å, b = 7.459 Å, c = 7.459 Å
α = 120.00°, β = 90.00°, γ = 90.00°
Sites, in units of the cell vectors:
Y: 0.000 0.333 0.667
Y: 0.000 0.667 0.333
Tm: 0.000 0.000 0.000
Ga: 0.500 0.332 0.332
Ga: 0.500 0.668 0.668
Ga: 0.500 0.000 0.668
Ga: 0.500 0.668 0.000
Ga: 0.500 0.332 0.000
Ga: 0.500 0.000 0.332

uncorrected energy: -4.581 eV/atom
calculated formation energy: -0.63 eV/atom